Entry 1:
A plane-wave DFT calculation with PBE-GGA was carried out for NaMnAs2 after structural relaxation.

Properties
- Space-group type: R-3m (166)
- Energy relative to the elements: -23 kJ/mol of atoms
- Density of states at the Fermi level: 1.8 states/eV per cell

The structure in CIF format:
```
data_NaMnAs2
_chemical_formula_sum 'Na1 Mn1 As2'
_space_group_name_H-M_alt 'P 1'
_space_group_IT_number 1
_cell_length_a 7.959
_cell_length_b 7.959
_cell_length_c 7.959
_cell_angle_alpha 24.84
_cell_angle_beta 24.84
_cell_angle_gamma 24.84
loop_
_space_group_symop_operation_xyz
'x,y,z'
loop_
_atom_site_label
_atom_site_fract_x
_atom_site_fract_y
_atom_site_fract_z
Na1 0.000 0.000 0.000
Mn1 0.500 0.500 0.500
As1 0.233 0.233 0.233
As2 0.767 0.767 0.767
```

***

Entry 2:
A plane-wave DFT calculation with PBE-GGA was carried out for Pb2OF2 after structural relaxation.

Properties
- Space-group type: P-4m2 (115)
- Uncorrected formation energy: -1.762 eV per atom

The structure in CIF format:
```
data_Pb2OF2
_chemical_formula_sum 'Pb8 O4 F8'
_space_group_name_H-M_alt 'P 1'
_space_group_IT_number 1
_cell_length_a 8.334
_cell_length_b 8.334
_cell_length_c 5.838
_cell_angle_alpha 90.00
_cell_angle_beta 90.00
_cell_angle_gamma 90.00
loop_
_space_group_symop_operation_xyz
'x,y,z'
loop_
_atom_site_label
_atom_site_fract_x
_atom_site_fract_y
_atom_site_fract_z
Pb1 0.000 0.259 0.205
Pb2 0.000 0.741 0.205
Pb3 0.238 0.500 0.690
Pb4 0.259 0.000 0.795
Pb5 0.500 0.238 0.310
Pb6 0.500 0.762 0.310
Pb7 0.741 0.000 0.795
Pb8 0.762 0.500 0.690
O1 0.000 0.000 0.000
O2 0.000 0.500 0.475
O3 0.500 0.000 0.525
O4 0.500 0.500 0.500
F1 0.202 0.202 0.500
F2 0.202 0.798 0.500
F3 0.280 0.280 0.000
F4 0.280 0.720 0.000
F5 0.720 0.280 0.000
F6 0.720 0.720 0.000
F7 0.798 0.202 0.500
F8 0.798 0.798 0.500
```

***

Entry 3:
A plane-wave DFT calculation with PBE-GGA was carried out for In after structural relaxation.

Properties
- Space-group type: R-3m (166)
- Energy relative to the elements: 1 kJ/mol of atoms
- Density of states at the Fermi level: 0.8 states/eV per cell

The structure in CIF format:
```
data_In
_chemical_formula_sum 'In3'
_space_group_name_H-M_alt 'P 1'
_space_group_IT_number 1
_cell_length_a 8.277
_cell_length_b 8.277
_cell_length_c 8.277
_cell_angle_alpha 23.86
_cell_angle_beta 23.86
_cell_angle_gamma 23.86
loop_
_space_group_symop_operation_xyz
'x,y,z'
loop_
_atom_site_label
_atom_site_fract_x
_atom_site_fract_y
_atom_site_fract_z
In1 0.000 0.000 0.000
In2 0.222 0.222 0.222
In3 0.778 0.778 0.778
```

***

Entry 4:
A plane-wave DFT calculation with PBE-GGA was carried out for Pr4Dy5Ho2 after structural relaxation.

Properties
- Space-group type: Immm (71)
- Energy relative to the elements: 28 kJ/mol of atoms
- Density of states at the Fermi level: 15.7 states/eV per cell

The structure in CIF format:
```
data_Pr4Dy5Ho2
_chemical_formula_sum 'Pr4 Dy5 Ho2'
_space_group_name_H-M_alt 'P 1'
_space_group_IT_number 1
_cell_length_a 12.556
_cell_length_b 12.556
_cell_length_c 12.556
_cell_angle_alpha 163.92
_cell_angle_beta 136.42
_cell_angle_gamma 46.74
loop_
_space_group_symop_operation_xyz
'x,y,z'
loop_
_atom_site_label
_atom_site_fract_x
_atom_site_fract_y
_atom_site_fract_z
Pr1 0.096 0.096 0.000
Pr2 0.207 0.500 0.707
Pr3 0.793 0.500 0.293
Pr4 0.904 0.904 0.000
Dy1 0.151 0.351 0.800
Dy2 0.449 0.649 0.800
Dy3 0.500 0.000 0.500
Dy4 0.551 0.351 0.200
Dy5 0.849 0.649 0.200
Ho1 0.230 0.230 0.000
Ho2 0.770 0.770 0.000
```

***

Entry 5:
A plane-wave DFT calculation with PBE-GGA was carried out for Y5Ho2Ge4 after structural relaxation.

Properties
- Space-group type: C2/m (12)
- Energy relative to the elements: -59 kJ/mol of atoms
- Density of states at the Fermi level: 7.5 states/eV per cell

The structure in CIF format:
```
data_Y5Ho2Ge4
_chemical_formula_sum 'Y5 Ho2 Ge4'
_space_group_name_H-M_alt 'P 1'
_space_group_IT_number 1
_cell_length_a 11.003
_cell_length_b 11.003
_cell_length_c 6.162
_cell_angle_alpha 92.20
_cell_angle_beta 92.20
_cell_angle_gamma 23.34
loop_
_space_group_symop_operation_xyz
'x,y,z'
loop_
_atom_site_label
_atom_site_fract_x
_atom_site_fract_y
_atom_site_fract_z
Y1 0.000 0.000 0.000
Y2 0.081 0.081 0.510
Y3 0.376 0.376 0.994
Y4 0.624 0.624 0.006
Y5 0.919 0.919 0.490
Ho1 0.230 0.230 0.274
Ho2 0.770 0.770 0.726
Ge1 0.192 0.192 0.800
Ge2 0.499 0.499 0.293
Ge3 0.501 0.501 0.707
Ge4 0.808 0.808 0.200
```

***

Entry 6:
A plane-wave DFT calculation with PBE-GGA was carried out for LaTc3Br after structural relaxation.

Properties
- Space-group type: Pm-3m (221)
- Density of states at the Fermi level: 5.7 states/eV per cell
- Uncorrected formation energy: 2.238 eV per atom

The structure in CIF format:
```
data_LaTc3Br
_chemical_formula_sum 'La1 Tc3 Br1'
_space_group_name_H-M_alt 'P 1'
_space_group_IT_number 1
_cell_length_a 5.002
_cell_length_b 5.002
_cell_length_c 5.002
_cell_angle_alpha 90.00
_cell_angle_beta 90.00
_cell_angle_gamma 90.00
loop_
_space_group_symop_operation_xyz
'x,y,z'
loop_
_atom_site_label
_atom_site_fract_x
_atom_site_fract_y
_atom_site_fract_z
La1 0.000 0.000 0.000
Tc1 0.000 0.000 0.500
Tc2 0.000 0.500 0.000
Tc3 0.500 0.000 0.000
Br1 0.500 0.500 0.500
```

***

Entry 7:
A plane-wave DFT calculation with PBE-GGA was carried out for DyErLuAl after structural relaxation.

Properties
- Space-group type: F-43m (216)
- Energy relative to the elements: -8 kJ/mol of atoms
- Density of states at the Fermi level: 5.0 states/eV per cell

The structure in CIF format:
```
data_DyErLuAl
_chemical_formula_sum 'Dy1 Er1 Lu1 Al1'
_space_group_name_H-M_alt 'P 1'
_space_group_IT_number 1
_cell_length_a 5.290
_cell_length_b 5.290
_cell_length_c 5.290
_cell_angle_alpha 60.00
_cell_angle_beta 60.00
_cell_angle_gamma 60.00
loop_
_space_group_symop_operation_xyz
'x,y,z'
loop_
_atom_site_label
_atom_site_fract_x
_atom_site_fract_y
_atom_site_fract_z
Dy1 0.000 0.000 0.000
Er1 0.500 0.500 0.500
Lu1 0.750 0.750 0.750
Al1 0.250 0.250 0.250
```

***

Entry 8:
A plane-wave DFT calculation with PBE-GGA was carried out for YAl4IrPt2 after structural relaxation.

Properties
- Space-group type: R-3m (166)
- Energy relative to the elements: -85 kJ/mol of atoms
- Density of states at the Fermi level: 4.1 states/eV per cell

The structure in CIF format:
```
data_YAl4IrPt2
_chemical_formula_sum 'Y1 Al4 Ir1 Pt2'
_space_group_name_H-M_alt 'P 1'
_space_group_IT_number 1
_cell_length_a 9.083
_cell_length_b 9.083
_cell_length_c 9.083
_cell_angle_alpha 27.12
_cell_angle_beta 27.12
_cell_angle_gamma 27.12
loop_
_space_group_symop_operation_xyz
'x,y,z'
loop_
_atom_site_label
_atom_site_fract_x
_atom_site_fract_y
_atom_site_fract_z
Y1 0.000 0.000 0.000
Al1 0.133 0.133 0.133
Al2 0.402 0.402 0.402
Al3 0.598 0.598 0.598
Al4 0.867 0.867 0.867
Ir1 0.500 0.500 0.500
Pt1 0.236 0.236 0.236
Pt2 0.764 0.764 0.764
```

***

Result set for uncorrected energy: -5.1839 -4.9854 -2.7300 -4.3768 -6.0624 -5.3018 -4.4351 -6.1797 eV per atom, one per record in the order listed.